(1)
First-principles (PBE) data for Pr5BrN4 after structural relaxation, as listed in Alexandria via LeMat-Bulk.

a b c (Å): 12.453 3.719 9.915
angles (deg): 90.00 119.74 90.00
Space group C2/m (No. 12)
Asymmetric unit:
Pr 0.000 0.000 0.000
Pr 0.106 0.500 0.348
Pr 0.213 0.000 0.833
Br 0.000 0.000 0.500
N 0.098 0.500 0.900
N 0.192 0.000 0.279

Computed properties:
* ΔE_f (raw): -1.276 eV/atom
* raw total energy: -7.163 eV/atom
* density: 7.0 g cm⁻³

(2)
First-principles (PBE) data for LaPmEr2Bi4 after structural relaxation, as listed in Alexandria via LeMat-Bulk.

a b c (Å): 7.858 4.555 7.882
angles (deg): 90.00 109.53 90.00
Space group P2/m (No. 10)
Asymmetric unit:
La 0.000 0.000 0.000
Pm 0.000 0.500 0.500
Er 0.500 0.000 0.500
Er 0.500 0.500 0.000
Bi 0.261 0.000 0.751
Bi 0.263 0.500 0.257

Computed properties:
* formation energy from the elements: -86.93 kJ/mol of atoms
* raw total energy: -5.192 eV/atom
* density: 9.1 g cm⁻³

(3)
First-principles (PBE) data for SbTe after structural relaxation, as listed in Alexandria via LeMat-Bulk.

a b c (Å): 4.708 4.288 6.509
angles (deg): 90.00 109.14 90.00
Space group P2_1/m (No. 11)
Asymmetric unit:
Sb 0.138 0.250 0.246
Te 0.352 0.250 0.727

Computed properties:
* ΔE_f (raw): 0.017 eV/atom
* raw total energy: -3.615 eV/atom
* density: 6.7 g cm⁻³

(4)
First-principles (PBE) data for Ta2NbAgBr after structural relaxation, as listed in Alexandria via LeMat-Bulk.

a b c (Å): 4.937 4.937 5.157
angles (deg): 90.00 90.00 90.00
Space group P4/mmm (No. 123)
Asymmetric unit:
Ta 0.000 0.500 0.000
Nb 0.000 0.000 0.000
Ag 0.500 0.500 0.500
Br 0.000 0.000 0.500

Computed properties:
* ΔE_f (raw): 1.537 eV/atom
* raw total energy: -6.123 eV/atom
* density: 8.5 g cm⁻³

(5)
First-principles (PBE) data for KPaSn2 after structural relaxation, as listed in Alexandria via LeMat-Bulk.

a b c (Å): 3.3686 3.3686 36.5867
angles (deg): 90.00 90.00 120.00
Space group R-3m (No. 166, hexagonal axes)
Asymmetric unit:
K 0.0000 0.0000 0.0000
Pa 0.0000 0.0000 0.5000
Sn 0.0000 0.0000 0.0924

Computed properties:
* formation energy from the elements: 6.78 kJ/mol of atoms
* raw total energy: -4.579 eV/atom
* density: 7.0 g cm⁻³